A relaxed Ba2SiRu crystal, computed with GGA-PBE.

The structure in CIF format:
```
data_Ba2SiRu
_cell_length_a 6.993
_cell_length_b 8.757
_cell_length_c 3.779
_cell_angle_alpha 90.00
_cell_angle_beta 90.00
_cell_angle_gamma 90.00
_symmetry_space_group_name_H-M 'P 1'
_symmetry_Int_Tables_number 1
loop_
_symmetry_equiv_pos_as_xyz
'x,y,z'
loop_
_atom_site_label
_atom_site_type_symbol
_atom_site_fract_x
_atom_site_fract_y
_atom_site_fract_z
_atom_site_occupancy
Ba1 Ba 0.250 0.250 0.000 1
Ba2 Ba 0.250 0.750 0.000 1
Ba3 Ba 0.750 0.250 0.000 1
Ba4 Ba 0.750 0.750 0.000 1
Si1 Si 0.000 0.000 0.500 1
Si2 Si 0.500 0.500 0.500 1
Ru1 Ru 0.000 0.500 0.500 1
Ru2 Ru 0.500 0.000 0.500 1
```

## Properties
Its symmetry is No. 65. The value obtained for the uncorrected formation energy is 0.529 eV per atom. The density of states at the Fermi level is 6.99 states/eV/f.u. The calculation puts the volume at 231.4 Å³/cell.



A relaxed Rb2PbF4 crystal, computed with GGA-PBE.

The structure in CIF format:
```
data_Rb2PbF4
_cell_length_a 6.864
_cell_length_b 11.708
_cell_length_c 3.936
_cell_angle_alpha 90.00
_cell_angle_beta 90.00
_cell_angle_gamma 90.00
_symmetry_space_group_name_H-M 'P 1'
_symmetry_Int_Tables_number 1
loop_
_symmetry_equiv_pos_as_xyz
'x,y,z'
loop_
_atom_site_label
_atom_site_type_symbol
_atom_site_fract_x
_atom_site_fract_y
_atom_site_fract_z
_atom_site_occupancy
Rb1 Rb 0.063 0.180 0.000 1
Rb2 Rb 0.437 0.680 0.000 1
Rb3 Rb 0.563 0.320 0.000 1
Rb4 Rb 0.937 0.820 0.000 1
Pb1 Pb 0.000 0.500 0.500 1
Pb2 Pb 0.500 0.000 0.500 1
F1 F 0.140 0.692 0.500 1
F2 F 0.221 0.457 0.000 1
F3 F 0.279 0.957 0.000 1
F4 F 0.360 0.192 0.500 1
F5 F 0.640 0.808 0.500 1
F6 F 0.721 0.043 0.000 1
F7 F 0.779 0.543 0.000 1
F8 F 0.860 0.308 0.500 1
```

## Properties
Its symmetry is No. 55. The value obtained for the uncorrected formation energy is -2.572 eV per atom. The density of states at the Fermi level is 0.00 states/eV/f.u. The calculation puts the volume at 316.3 Å³/cell.



A relaxed La2TlRh3O8 crystal, computed with GGA-PBE.

The structure in CIF format:
```
data_La2TlRh3O8
_cell_length_a 6.686
_cell_length_b 6.686
_cell_length_c 6.686
_cell_angle_alpha 59.62
_cell_angle_beta 59.62
_cell_angle_gamma 59.62
_symmetry_space_group_name_H-M 'P 1'
_symmetry_Int_Tables_number 1
loop_
_symmetry_equiv_pos_as_xyz
'x,y,z'
loop_
_atom_site_label
_atom_site_type_symbol
_atom_site_fract_x
_atom_site_fract_y
_atom_site_fract_z
_atom_site_occupancy
La1 La 0.000 0.000 0.000 1
La2 La 0.382 0.382 0.382 1
Tl1 Tl 0.625 0.625 0.625 1
Rh1 Rh 0.504 0.999 0.999 1
Rh2 Rh 0.999 0.504 0.999 1
Rh3 Rh 0.999 0.999 0.504 1
O1 O 0.190 0.749 0.749 1
O2 O 0.229 0.229 0.229 1
O3 O 0.255 0.255 0.797 1
O4 O 0.255 0.797 0.255 1
O5 O 0.749 0.190 0.749 1
O6 O 0.749 0.749 0.190 1
O7 O 0.779 0.779 0.779 1
O8 O 0.797 0.255 0.255 1
```

## Properties
Its symmetry is No. 160. The value obtained for the uncorrected formation energy is -1.558 eV per atom. The calculation puts the volume at 209.5 Å³/cell.



A relaxed Zr2TcAg crystal, computed with GGA-PBE.

The structure in CIF format:
```
data_Zr2TcAg
_cell_length_a 3.483
_cell_length_b 3.483
_cell_length_c 6.303
_cell_angle_alpha 90.00
_cell_angle_beta 90.00
_cell_angle_gamma 90.00
_symmetry_space_group_name_H-M 'P 1'
_symmetry_Int_Tables_number 1
loop_
_symmetry_equiv_pos_as_xyz
'x,y,z'
loop_
_atom_site_label
_atom_site_type_symbol
_atom_site_fract_x
_atom_site_fract_y
_atom_site_fract_z
_atom_site_occupancy
Zr1 Zr 0.000 0.000 0.000 1
Zr2 Zr 0.500 0.500 0.294 1
Tc1 Tc 0.500 0.500 0.793 1
Ag1 Ag 0.000 0.000 0.536 1
```

## Properties
Its symmetry is No. 99. The density of states at the Fermi level is 3.31 states/eV/f.u. The calculation puts the volume at 76.5 Å³/cell. For the formation energy, the calculation gives 66 meV/atom.



A relaxed Li2CaRe crystal, computed with GGA-PBE.

The structure in CIF format:
```
data_Li2CaRe
_cell_length_a 2.739
_cell_length_b 5.125
_cell_length_c 9.767
_cell_angle_alpha 90.00
_cell_angle_beta 90.00
_cell_angle_gamma 90.00
_symmetry_space_group_name_H-M 'P 1'
_symmetry_Int_Tables_number 1
loop_
_symmetry_equiv_pos_as_xyz
'x,y,z'
loop_
_atom_site_label
_atom_site_type_symbol
_atom_site_fract_x
_atom_site_fract_y
_atom_site_fract_z
_atom_site_occupancy
Li1 Li 0.000 0.000 0.000 1
Li2 Li 0.000 0.500 0.281 1
Li3 Li 0.500 0.000 0.781 1
Li4 Li 0.500 0.500 0.500 1
Ca1 Ca 0.000 0.500 0.765 1
Ca2 Ca 0.500 0.000 0.265 1
Re1 Re 0.000 0.000 0.542 1
Re2 Re 0.500 0.500 0.042 1
```

## Properties
Its symmetry is No. 44. The density of states at the Fermi level is 2.16 states/eV/f.u. The calculation puts the volume at 137.1 Å³/cell. For the formation energy, the calculation gives 589 meV/atom.



A relaxed Mg2ScTa crystal, computed with GGA-PBE.

The structure in CIF format:
```
data_Mg2ScTa
_cell_length_a 10.432
_cell_length_b 3.081
_cell_length_c 5.377
_cell_angle_alpha 90.00
_cell_angle_beta 105.91
_cell_angle_gamma 90.00
_symmetry_space_group_name_H-M 'P 1'
_symmetry_Int_Tables_number 1
loop_
_symmetry_equiv_pos_as_xyz
'x,y,z'
loop_
_atom_site_label
_atom_site_type_symbol
_atom_site_fract_x
_atom_site_fract_y
_atom_site_fract_z
_atom_site_occupancy
Mg1 Mg 0.000 0.000 0.000 1
Mg2 Mg 0.250 0.000 0.798 1
Mg3 Mg 0.500 0.500 0.000 1
Mg4 Mg 0.750 0.500 0.798 1
Sc1 Sc 0.259 0.500 0.323 1
Sc2 Sc 0.759 0.000 0.323 1
Ta1 Ta 0.004 0.500 0.493 1
Ta2 Ta 0.504 0.000 0.493 1
```

## Properties
Its symmetry is No. 8. The density of states at the Fermi level is 2.70 states/eV/f.u. The calculation puts the volume at 166.2 Å³/cell. For the formation energy, the calculation gives 206 meV/atom.



A relaxed Cs2MgCrI6 crystal, computed with GGA-PBE.

The structure in CIF format:
```
data_Cs2MgCrI6
_cell_length_a 8.285
_cell_length_b 8.285
_cell_length_c 8.285
_cell_angle_alpha 60.00
_cell_angle_beta 60.00
_cell_angle_gamma 60.00
_symmetry_space_group_name_H-M 'P 1'
_symmetry_Int_Tables_number 1
loop_
_symmetry_equiv_pos_as_xyz
'x,y,z'
loop_
_atom_site_label
_atom_site_type_symbol
_atom_site_fract_x
_atom_site_fract_y
_atom_site_fract_z
_atom_site_occupancy
Cs1 Cs 0.250 0.250 0.250 1
Cs2 Cs 0.750 0.750 0.750 1
Mg1 Mg 0.000 0.000 0.000 1
Cr1 Cr 0.500 0.500 0.500 1
I1 I 0.254 0.254 0.746 1
I2 I 0.254 0.746 0.254 1
I3 I 0.254 0.746 0.746 1
I4 I 0.746 0.254 0.254 1
I5 I 0.746 0.254 0.746 1
I6 I 0.746 0.746 0.254 1
```

## Properties
Its symmetry is No. 225. The value obtained for the uncorrected formation energy is -0.972 eV per atom. The density of states at the Fermi level is 2.71 states/eV/f.u. The calculation puts the volume at 402.1 Å³/cell.



A relaxed Pm2CdGa3 crystal, computed with GGA-PBE.

The structure in CIF format:
```
data_Pm2CdGa3
_cell_length_a 9.107
_cell_length_b 8.754
_cell_length_c 5.949
_cell_angle_alpha 73.78
_cell_angle_beta 67.37
_cell_angle_gamma 38.85
_symmetry_space_group_name_H-M 'P 1'
_symmetry_Int_Tables_number 1
loop_
_symmetry_equiv_pos_as_xyz
'x,y,z'
loop_
_atom_site_label
_atom_site_type_symbol
_atom_site_fract_x
_atom_site_fract_y
_atom_site_fract_z
_atom_site_occupancy
Pm1 Pm 0.249 0.751 0.751 1
Pm2 Pm 0.250 0.250 0.250 1
Pm3 Pm 0.750 0.750 0.750 1
Pm4 Pm 0.751 0.249 0.249 1
Cd1 Cd 0.333 0.333 0.667 1
Cd2 Cd 0.667 0.667 0.333 1
Ga1 Ga 0.163 0.163 0.837 1
Ga2 Ga 0.163 0.674 0.326 1
Ga3 Ga 0.326 0.837 0.163 1
Ga4 Ga 0.674 0.163 0.837 1
Ga5 Ga 0.837 0.326 0.674 1
Ga6 Ga 0.837 0.837 0.163 1
```

## Properties
Its symmetry is No. 69. The density of states at the Fermi level is 3.17 states/eV/f.u. The calculation puts the volume at 274.4 Å³/cell. For the formation energy, the calculation gives -561 meV/atom.



A relaxed Ca5Ag4 crystal, computed with GGA-PBE.

The structure in CIF format:
```
data_Ca5Ag4
_cell_length_a 9.256
_cell_length_b 9.256
_cell_length_c 6.815
_cell_angle_alpha 90.00
_cell_angle_beta 90.00
_cell_angle_gamma 120.00
_symmetry_space_group_name_H-M 'P 1'
_symmetry_Int_Tables_number 1
loop_
_symmetry_equiv_pos_as_xyz
'x,y,z'
loop_
_atom_site_label
_atom_site_type_symbol
_atom_site_fract_x
_atom_site_fract_y
_atom_site_fract_z
_atom_site_occupancy
Ca1 Ca 0.000 0.273 0.250 1
Ca2 Ca 0.000 0.727 0.750 1
Ca3 Ca 0.273 0.000 0.250 1
Ca4 Ca 0.273 0.273 0.750 1
Ca5 Ca 0.333 0.667 0.000 1
Ca6 Ca 0.333 0.667 0.500 1
Ca7 Ca 0.667 0.333 0.000 1
Ca8 Ca 0.667 0.333 0.500 1
Ca9 Ca 0.727 0.000 0.750 1
Ca10 Ca 0.727 0.727 0.250 1
Ag1 Ag 0.000 0.000 0.000 1
Ag2 Ag 0.000 0.000 0.500 1
Ag3 Ag 0.000 0.389 0.750 1
Ag4 Ag 0.000 0.611 0.250 1
Ag5 Ag 0.389 0.000 0.750 1
Ag6 Ag 0.389 0.389 0.250 1
Ag7 Ag 0.611 0.000 0.250 1
Ag8 Ag 0.611 0.611 0.750 1
```

## Properties
Its symmetry is No. 193. The density of states at the Fermi level is 6.31 states/eV/f.u. The calculation puts the volume at 505.7 Å³/cell. For the formation energy, the calculation gives -244 meV/atom.



A relaxed ScPd6Au2 crystal, computed with GGA-PBE.

The structure in CIF format:
```
data_ScPd6Au2
_cell_length_a 8.429
_cell_length_b 8.429
_cell_length_c 4.119
_cell_angle_alpha 90.00
_cell_angle_beta 90.00
_cell_angle_gamma 90.00
_symmetry_space_group_name_H-M 'P 1'
_symmetry_Int_Tables_number 1
loop_
_symmetry_equiv_pos_as_xyz
'x,y,z'
loop_
_atom_site_label
_atom_site_type_symbol
_atom_site_fract_x
_atom_site_fract_y
_atom_site_fract_z
_atom_site_occupancy
Sc1 Sc 0.000 0.000 0.000 1
Sc2 Sc 0.500 0.500 0.500 1
Pd1 Pd 0.004 0.332 0.000 1
Pd2 Pd 0.162 0.838 0.500 1
Pd3 Pd 0.168 0.504 0.500 1
Pd4 Pd 0.332 0.004 0.000 1
Pd5 Pd 0.338 0.338 0.000 1
Pd6 Pd 0.496 0.832 0.500 1
Pd7 Pd 0.504 0.168 0.500 1
Pd8 Pd 0.662 0.662 0.000 1
Pd9 Pd 0.668 0.996 0.000 1
Pd10 Pd 0.832 0.496 0.500 1
Pd11 Pd 0.838 0.162 0.500 1
Pd12 Pd 0.996 0.668 0.000 1
Au1 Au 0.172 0.172 0.500 1
Au2 Au 0.328 0.672 0.000 1
Au3 Au 0.672 0.328 0.000 1
Au4 Au 0.828 0.828 0.500 1
```

## Properties
Its symmetry is No. 136. The density of states at the Fermi level is 3.57 states/eV/f.u. The calculation puts the volume at 292.6 Å³/cell. For the formation energy, the calculation gives -439 meV/atom.



A relaxed NiHRh crystal, computed with GGA-PBE.

The structure in CIF format:
```
data_NiHRh
_cell_length_a 2.723
_cell_length_b 2.723
_cell_length_c 4.332
_cell_angle_alpha 90.00
_cell_angle_beta 90.00
_cell_angle_gamma 120.00
_symmetry_space_group_name_H-M 'P 1'
_symmetry_Int_Tables_number 1
loop_
_symmetry_equiv_pos_as_xyz
'x,y,z'
loop_
_atom_site_label
_atom_site_type_symbol
_atom_site_fract_x
_atom_site_fract_y
_atom_site_fract_z
_atom_site_occupancy
Ni1 Ni 0.000 0.000 0.000 1
H1 H 0.667 0.333 0.216 1
Rh1 Rh 0.333 0.667 0.515 1
```

## Properties
Its symmetry is No. 156. As for the total energy: -16.328 eV/cell. The density of states at the Fermi level is 4.13 states/eV/f.u. The calculation puts the volume at 27.8 Å³/cell.



A relaxed ZrZn2Rh2 crystal, computed with GGA-PBE.

The structure in CIF format:
```
data_ZrZn2Rh2
_cell_length_a 8.534
_cell_length_b 4.009
_cell_length_c 6.066
_cell_angle_alpha 90.00
_cell_angle_beta 131.33
_cell_angle_gamma 90.00
_symmetry_space_group_name_H-M 'P 1'
_symmetry_Int_Tables_number 1
loop_
_symmetry_equiv_pos_as_xyz
'x,y,z'
loop_
_atom_site_label
_atom_site_type_symbol
_atom_site_fract_x
_atom_site_fract_y
_atom_site_fract_z
_atom_site_occupancy
Zr1 Zr 0.000 0.000 0.000 1
Zr2 Zr 0.500 0.500 0.000 1
Zn1 Zn 0.189 0.000 0.607 1
Zn2 Zn 0.311 0.500 0.393 1
Zn3 Zn 0.689 0.500 0.607 1
Zn4 Zn 0.811 0.000 0.393 1
Rh1 Rh 0.086 0.500 0.790 1
Rh2 Rh 0.414 0.000 0.210 1
Rh3 Rh 0.586 0.000 0.790 1
Rh4 Rh 0.914 0.500 0.210 1
```

## Properties
Its symmetry is No. 12. The density of states at the Fermi level is 2.75 states/eV/f.u. The calculation puts the volume at 155.8 Å³/cell. For the formation energy, the calculation gives -537 meV/atom.